A plane-wave DFT calculation with SCAN was carried out for CaIClO2 at its PBEsol-relaxed geometry.

Geometry as extended XYZ:
```
5
Lattice="4.269 0.000 0.000 0.000 4.269 0.000 0.000 0.000 5.114" Properties=species:S:1:pos:R:3 pbc="T T T"
I 0.000 0.000 2.557
Ca 2.135 2.135 2.557
O 0.000 2.135 0.000
O 2.135 0.000 0.000
Cl 0.000 0.000 0.000
```

Computed properties:
The calculation puts the size of the total moment at 0.000 μB/f.u. Its uncorrected formation energy is -0.070 eV per atom. Its volume is 18.642 Å³/atom. The calculation puts the total energy at -13.44 eV/atom. As for the density of states at the Fermi level: 0.059 states/eV/f.u.

---

A plane-wave DFT calculation with SCAN was carried out for MnHgAsW2 at its PBEsol-relaxed geometry.

Geometry as extended XYZ:
```
5
Lattice="4.258 0.000 0.000 0.000 4.573 0.000 0.000 0.000 4.573" Properties=species:S:1:pos:R:3 pbc="T T T"
As 2.129 0.000 0.000
Mn 0.000 0.000 0.000
Hg 2.129 2.286 2.286
W 0.000 0.000 2.286
W 0.000 2.286 0.000
```

Computed properties:
The calculation puts the size of the total moment at 0.000 μB/f.u. For the formation energy, the calculation gives 1.343 eV/atom. Its volume is 17.806 Å³/atom. The calculation puts the total energy at -47.85 eV/atom. As for the density of states at the Fermi level: 3.763 states/eV/f.u.